VASP calculation (GGA-PBE) on a geometry-optimized SrCu2TeO2 structure.

Calculated values
For the calculated volume, the calculation gives 271.16 Å³ per cell. For the total moment, the calculation gives 0.00 μB per cell.

Lattice parameters (Å, degrees): 5.862 6.509 8.606 124.34 90.00 90.00
Element x y z (fractional)
1 Sr 0.250 0.096 0.912
2 Sr 0.750 0.904 0.088
3 Cu 0.250 0.280 0.332
4 Cu 0.250 0.511 0.690
5 Cu 0.750 0.720 0.668
6 Cu 0.750 0.489 0.310
7 Te 0.750 0.959 0.515
8 Te 0.250 0.041 0.485
9 O 0.503 0.264 0.186
10 O 0.997 0.264 0.186
11 O 0.003 0.736 0.814
12 O 0.497 0.736 0.814

VASP calculation (GGA-PBE) on a geometry-optimized Sr3CuTe2O9 structure.

Calculated values
For the calculated volume, the calculation gives 206.99 Å³ per cell. For the total moment, the calculation gives 0.00 μB per cell.

Lattice parameters (Å, degrees): 5.786 5.786 7.139 90.00 90.00 120.00
Element x y z (fractional)
1 Sr 0.333 0.667 0.656
2 Sr 0.000 0.000 0.000
3 Sr 0.667 0.333 0.344
4 Cu 0.000 0.000 0.500
5 Te 0.333 0.667 0.179
6 Te 0.667 0.333 0.821
7 O 0.830 0.170 0.673
8 O 0.830 0.661 0.673
9 O 0.339 0.170 0.673
10 O 0.661 0.830 0.327
11 O 0.170 0.339 0.327
12 O 0.170 0.830 0.327
13 O 0.500 0.000 0.000
14 O 0.000 0.500 0.000
15 O 0.500 0.500 0.000

One value per record, in order, for raw formation energy: -5.92 -26.73 eV per formula unit.